Model w:
This record from Alexandria describes crystalline Pr2MgO at its relaxed geometry. The functional is PBE.

Unit cell a=3.1884 b=3.1884 c=8.8161 alpha=90.00 beta=90.00 gamma=90.00
Closest atoms and distances in Å follow each position.
Fractional positions:
Pr (0.0000, 0.0000, 0.1815)  4 O 2.76
Pr (0.0000, 0.0000, 0.8185)  4 O 2.76
Mg (0.5000, 0.5000, 0.5000)  4 Mg 3.19
O (0.5000, 0.5000, 0.0000)  8 Pr 2.76

Summary:
Calculated volume in Å³ per atom: 22.41

Model x:
This record from Alexandria describes crystalline Pr2MgO at its relaxed geometry. The functional is PBE.

Unit cell a=9.6447 b=9.6447 c=9.6447 alpha=21.86 beta=21.86 gamma=21.86
Closest atoms and distances in Å follow each position.
Fractional positions:
Pr (0.1182, 0.1182, 0.1182)  3 O 2.52
Pr (0.8818, 0.8818, 0.8818)  3 O 2.52
Mg (0.0000, 0.0000, 0.0000)  2 Pr 3.34, 6 Mg 3.66
O (0.5000, 0.5000, 0.5000)  6 Pr 2.52

Summary:
Calculated volume in Å³ per atom: 27.26

Energy above the most stable structure, in meV per atom: model w 101; model x 0

Model w:
This record from Alexandria describes crystalline Mg3PtO at its relaxed geometry. The functional is PBE.

Unit cell a=4.1791 b=4.1791 c=4.1791 alpha=90.00 beta=90.00 gamma=90.00
Closest atoms and distances in Å follow each position.
Fractional positions:
Mg (0.0000, 0.0000, 0.5000)  2 O 2.09
Mg (0.0000, 0.5000, 0.0000)  2 O 2.09
Mg (0.5000, 0.0000, 0.0000)  2 O 2.09
Pt (0.5000, 0.5000, 0.5000)  12 Mg 2.96
O (0.0000, 0.0000, 0.0000)  6 Mg 2.09

Summary:
Calculated volume in Å³ per atom: 14.60

Model x:
This record from Alexandria describes crystalline Mg3PtO at its relaxed geometry. The functional is PBE.

Unit cell a=4.9113 b=4.9113 c=4.9113 alpha=90.00 beta=90.00 gamma=90.00
Closest atoms and distances in Å follow each position.
Fractional positions:
Mg (0.0000, 0.0000, 0.5000)  2 Pt 2.46
Mg (0.0000, 0.5000, 0.0000)  2 Pt 2.46
Mg (0.5000, 0.0000, 0.0000)  2 Pt 2.46
Pt (0.0000, 0.0000, 0.0000)  6 Mg 2.46
O (0.5000, 0.5000, 0.5000)  12 Mg 3.47

Summary:
Calculated volume in Å³ per atom: 23.69

Energy above the most stable structure, in meV per atom: model w 0; model x 1314

Model w:
This record from Alexandria describes crystalline MgPt2O at its relaxed geometry. The functional is PBE.

Unit cell a=7.1494 b=7.1494 c=7.1494 alpha=139.45 beta=139.45 gamma=58.69
Closest atoms and distances in Å follow each position.
Fractional positions:
Mg (0.0000, 0.0000, 0.0000)  4 Pt 2.84
Mg (0.7500, 0.2500, 0.5000)  4 Pt 2.84
Pt (0.2841, 0.6250, 0.1591)  2 O 2.04
Pt (0.3750, 0.5341, 0.6591)  2 O 2.04
Pt (0.4659, 0.1250, 0.8409)  2 O 2.04
Pt (0.8750, 0.7159, 0.3409)  2 O 2.04
O (0.2500, 0.7500, 0.5000)  4 Pt 2.04
O (0.5000, 0.5000, 0.0000)  4 Pt 2.04

Summary:
Calculated volume in Å³ per atom: 19.13

Model x:
This record from Alexandria describes crystalline MgPt2O at its relaxed geometry. The functional is PBE.

Unit cell a=4.2985 b=4.2985 c=4.2985 alpha=60.00 beta=60.00 gamma=60.00
Closest atoms and distances in Å follow each position.
Fractional positions:
Mg (0.0000, 0.0000, 0.0000)  8 Pt 2.63
Pt (0.2500, 0.2500, 0.2500)  4 O 2.63, 4 Mg 2.63
Pt (0.7500, 0.7500, 0.7500)  4 O 2.63, 4 Mg 2.63
O (0.5000, 0.5000, 0.5000)  8 Pt 2.63

Summary:
Calculated volume in Å³ per atom: 14.04

Energy above the most stable structure, in meV per atom: model w 0; model x 292

Model w:
This record from Alexandria describes crystalline RbMg6SbO8 at its relaxed geometry. The functional is PBE.

Unit cell a=4.6452 b=4.6452 c=9.0383 alpha=90.00 beta=90.00 gamma=90.00
Closest atoms and distances in Å follow each position.
Fractional positions:
Rb (0.0000, 0.0000, 0.0000)  6 O 2.32-2.57
Mg (0.0000, 0.0000, 0.5000)  2 O 1.95
Mg (0.0000, 0.5000, 0.2719)  1 O 2.06
Mg (0.0000, 0.5000, 0.7281)  1 O 2.06
Mg (0.5000, 0.0000, 0.2719)  1 O 2.06
Mg (0.5000, 0.0000, 0.7281)  1 O 2.06
Mg (0.5000, 0.5000, 0.5000)  6 O 2.11-2.32
Sb (0.5000, 0.5000, 0.0000)  6 O 2.32-2.40
O (0.0000, 0.0000, 0.2845)  1 Mg 1.95
O (0.0000, 0.0000, 0.7155)  1 Mg 1.95
O (0.0000, 0.5000, 0.0000)  2 Sb 2.32, 2 Rb 2.32, 2 Mg 2.46
O (0.0000, 0.5000, 0.5000)  2 Mg 2.06
O (0.5000, 0.0000, 0.0000)  2 Sb 2.32, 2 Rb 2.32, 2 Mg 2.46
O (0.5000, 0.0000, 0.5000)  2 Mg 2.06
O (0.5000, 0.5000, 0.2660)  5 Mg 2.11-2.32
O (0.5000, 0.5000, 0.7340)  5 Mg 2.11-2.32

Summary:
Calculated volume in Å³ per atom: 12.19

Model x:
This record from Alexandria describes crystalline RbMg6SbO8 at its relaxed geometry. The functional is PBE.

Unit cell a=4.6764 b=4.6764 c=9.0500 alpha=90.00 beta=90.00 gamma=90.00
Closest atoms and distances in Å follow each position.
Fractional positions:
Rb (0.0000, 0.0000, 0.0000)  6 O 2.34-2.42
Mg (0.0000, 0.5000, 0.2338)  5 O 2.12-2.36
Mg (0.0000, 0.5000, 0.7662)  5 O 2.12-2.36
Mg (0.5000, 0.0000, 0.2338)  5 O 2.12-2.36
Mg (0.5000, 0.0000, 0.7662)  5 O 2.12-2.36
Mg (0.5000, 0.5000, 0.0000)  6 O 2.28-2.34
Mg (0.5000, 0.5000, 0.5000)  6 O 2.25-2.34
Sb (0.0000, 0.0000, 0.5000)  6 O 2.10-2.34
O (0.0000, 0.0000, 0.2677)  1 Sb 2.10
O (0.0000, 0.0000, 0.7323)  1 Sb 2.10
O (0.0000, 0.5000, 0.0000)  4 Mg 2.12-2.34, 2 Rb 2.34
O (0.0000, 0.5000, 0.5000)  2 Sb 2.34, 4 Mg 2.34-2.41
O (0.5000, 0.0000, 0.0000)  4 Mg 2.12-2.34, 2 Rb 2.34
O (0.5000, 0.0000, 0.5000)  2 Sb 2.34, 4 Mg 2.34-2.41
O (0.5000, 0.5000, 0.2518)  6 Mg 2.25-2.34
O (0.5000, 0.5000, 0.7482)  6 Mg 2.25-2.34

Summary:
Calculated volume in Å³ per atom: 12.37

Energy above the most stable structure, in meV per atom: model w 0; model x 85

Model w:
This record from Alexandria describes crystalline RbMg6SiO8 at its relaxed geometry. The functional is PBE.

Unit cell a=4.7110 b=4.7110 c=8.3463 alpha=90.00 beta=90.00 gamma=90.00
Closest atoms and distances in Å follow each position.
Fractional positions:
Rb (0.0000, 0.0000, 0.0000)  6 O 2.36-2.49
Mg (0.0000, 0.5000, 0.2494)  2 O 2.08-2.09
Mg (0.0000, 0.5000, 0.7506)  2 O 2.08-2.09
Mg (0.5000, 0.0000, 0.2494)  2 O 2.08-2.09
Mg (0.5000, 0.0000, 0.7506)  2 O 2.08-2.09
Mg (0.5000, 0.5000, 0.0000)  6 O 2.10-2.36
Mg (0.5000, 0.5000, 0.5000)  2 O 2.07
Si (0.0000, 0.0000, 0.5000)  2 O 1.68
O (0.0000, 0.0000, 0.2982)  1 Si 1.68
O (0.0000, 0.0000, 0.7018)  1 Si 1.68
O (0.0000, 0.5000, 0.0000)  2 Mg 2.08
O (0.0000, 0.5000, 0.5000)  2 Mg 2.09
O (0.5000, 0.0000, 0.0000)  2 Mg 2.08
O (0.5000, 0.0000, 0.5000)  2 Mg 2.09
O (0.5000, 0.5000, 0.2521)  2 Mg 2.07-2.10
O (0.5000, 0.5000, 0.7479)  2 Mg 2.07-2.10

Summary:
Calculated volume in Å³ per atom: 11.58

Model x:
This record from Alexandria describes crystalline RbMg6SiO8 at its relaxed geometry. The functional is PBE.

Unit cell a=4.5643 b=4.5643 c=8.7140 alpha=90.00 beta=90.00 gamma=90.00
Closest atoms and distances in Å follow each position.
Fractional positions:
Rb (0.0000, 0.0000, 0.0000)  6 O 2.28-2.45
Mg (0.0000, 0.0000, 0.5000)  2 O 1.90
Mg (0.0000, 0.5000, 0.2540)  6 O 2.14-2.29
Mg (0.0000, 0.5000, 0.7460)  6 O 2.14-2.29
Mg (0.5000, 0.0000, 0.2540)  6 O 2.14-2.29
Mg (0.5000, 0.0000, 0.7460)  6 O 2.14-2.29
Mg (0.5000, 0.5000, 0.5000)  6 O 2.28-2.34
Si (0.5000, 0.5000, 0.0000)  2 O 2.01
O (0.0000, 0.0000, 0.2815)  1 Mg 1.90
O (0.0000, 0.0000, 0.7185)  1 Mg 1.90
O (0.0000, 0.5000, 0.0000)  2 Mg 2.21, 2 Rb 2.28, 2 Si 2.28
O (0.0000, 0.5000, 0.5000)  6 Mg 2.14-2.28
O (0.5000, 0.0000, 0.0000)  2 Mg 2.21, 2 Rb 2.28, 2 Si 2.28
O (0.5000, 0.0000, 0.5000)  6 Mg 2.14-2.28
O (0.5000, 0.5000, 0.2312)  1 Si 2.01
O (0.5000, 0.5000, 0.7688)  1 Si 2.01

Summary:
Calculated volume in Å³ per atom: 11.35

Energy above the most stable structure, in meV per atom: model w 0; model x 90